Record 1
NaSn2BiO: optimized geometry, GGA-PBEsol.

a b c (Å): 3.9042 5.6104 5.6104
angles (deg): 90.00 90.00 90.00
Closest atoms and distances in Å follow each position.
Element x y z (fractional)
1 Na 0.0000 0.0000 0.0000  2 O 1.95
2 Bi 0.5000 0.5000 0.5000  8 Sn 3.42
3 O 0.5000 0.0000 0.0000  2 Na 1.95
4 Sn 0.0000 0.0000 0.5000  2 Na 2.81
5 Sn 0.0000 0.5000 0.0000  2 Na 2.81

Values from the calculation:
The calculation puts the energy relative to the elements, uncorrected at 277 meV per atom. The value obtained for the density of states at the Fermi level is 0.541 states/eV per atom.

=====

Record 2
MgCoSi2: optimized geometry, GGA-PBEsol.

a b c (Å): 4.2966 4.2966 8.1054
angles (deg): 105.37 105.37 90.00
Closest atoms and distances in Å follow each position.
Element x y z (fractional)
1 Si 0.2420 0.8750 0.2500  2 Co 2.22, 2 Si 2.37
2 Si 0.0080 0.3750 0.2500  2 Co 2.22, 2 Si 2.37
3 Si 0.1250 0.9920 0.7500  2 Co 2.22, 2 Si 2.37
4 Si 0.6250 0.7580 0.7500  2 Co 2.22, 2 Si 2.37
5 Co 0.2500 0.7500 0.5000  4 Si 2.22
6 Co 0.0000 0.0000 0.0000  4 Si 2.22
7 Mg 0.7500 0.2500 0.5000  4 Si 2.72, 4 Co 3.04
8 Mg 0.5000 0.5000 0.0000  4 Si 2.72, 4 Co 3.04

Values from the calculation:
The calculation puts the energy relative to the elements, uncorrected at 114 meV per atom. The value obtained for the density of states at the Fermi level is 0.638 states/eV per atom.

=====

Record 3
AgPb: optimized geometry, GGA-PBEsol.

a b c (Å): 3.3863 3.3863 7.9508
angles (deg): 90.00 90.00 90.00
Closest atoms and distances in Å follow each position.
Element x y z (fractional)
1 Pb 0.5000 0.0000 0.6686  5 Ag 3.06-3.36, 4 Pb 3.39
2 Pb 0.0000 0.5000 0.3314  5 Ag 3.06-3.36, 4 Pb 3.39
3 Ag 0.5000 0.0000 0.0908  4 Ag 2.80, 4 Pb 3.06
4 Ag 0.0000 0.5000 0.9092  4 Ag 2.80, 4 Pb 3.06

Values from the calculation:
The value obtained for the density of states at the Fermi level is 0.480 states/eV per atom. For the formation enthalpy at 0 K, the calculation gives 0.068 eV per atom.

=====

Record 4
MgTiSb3: optimized geometry, GGA-PBEsol.

a b c (Å): 5.2239 5.2239 5.2239
angles (deg): 90.00 90.00 90.00
Closest atoms and distances in Å follow each position.
Element x y z (fractional)
1 Sb 0.0000 0.5000 0.0000  2 Mg 2.61
2 Sb 0.0000 0.0000 0.5000  2 Mg 2.61
3 Sb 0.5000 0.0000 0.0000  2 Mg 2.61
4 Mg 0.0000 0.0000 0.0000  6 Sb 2.61
5 Ti 0.5000 0.5000 0.5000  12 Sb 3.69

Values from the calculation:
The calculation puts the energy relative to the elements, uncorrected at 842 meV per atom. The value obtained for the density of states at the Fermi level is 1.897 states/eV per atom.

=====

Record 5
Na3CuH: optimized geometry, GGA-PBEsol.

a b c (Å): 4.6014 4.6014 4.6014
angles (deg): 90.00 90.00 90.00
Closest atoms and distances in Å follow each position.
Element x y z (fractional)
1 Na 0.0000 0.5000 0.0000  2 H 2.30
2 Na 0.0000 0.0000 0.5000  2 H 2.30
3 Na 0.5000 0.0000 0.0000  2 H 2.30
4 Cu 0.5000 0.5000 0.5000  12 Na 3.25
5 H 0.0000 0.0000 0.0000  6 Na 2.30

Values from the calculation:
The value obtained for the total energy is -10.735 eV/cell. The value obtained for the density of states at the Fermi level is 0.486 states/eV per atom.

=====

Record 6
Co3Pt2: optimized geometry, GGA-PBEsol.

a b c (Å): 4.0531 4.0531 5.0169
angles (deg): 90.00 90.00 120.00
Closest atoms and distances in Å follow each position.
Element x y z (fractional)
1 Co 0.0000 0.0000 0.0000  6 Pt 2.46
2 Co 0.3333 0.6667 0.3657  5 Pt 2.42-2.60, 3 Co 2.70
3 Co 0.6667 0.3333 0.6343  5 Pt 2.42-2.60, 3 Co 2.70
4 Pt 0.3333 0.6667 0.8473  8 Co 2.42-2.60
5 Pt 0.6667 0.3333 0.1527  8 Co 2.42-2.60

Values from the calculation:
The value obtained for the density of states at the Fermi level is 1.515 states/eV per atom. For the formation enthalpy at 0 K, the calculation gives 0.398 eV per atom.